[1]
DFT (PBE) results for an optimized crystal structure of Pr2BeAs4Pd3.

Unit cell a=4.2348 b=4.2348 c=10.7350 alpha=90.00 beta=90.00 gamma=90.00
Last column: nearest neighbours and their distance in Å.
Positions (direct):
Pr1 0.0000 0.5000 0.2425  8 As 3.23-3.48, 6 Pd 3.25-3.36, 2 Be 3.36
Pr2 0.5000 0.0000 0.7575  8 As 3.23-3.48, 6 Pd 3.25-3.36, 2 Be 3.36
Be1 0.5000 0.5000 0.0000  4 As 2.54
As1 0.0000 0.0000 0.5000  4 Pd 2.59
As2 0.0000 0.5000 0.8701  3 Pd 2.48-2.54, 2 Be 2.54
As3 0.5000 0.0000 0.1299  3 Pd 2.48-2.54, 2 Be 2.54
As4 0.5000 0.5000 0.5000  4 Pd 2.59
Pd1 0.0000 0.0000 0.0000  4 As 2.54
Pd2 0.0000 0.5000 0.6391  5 As 2.48-2.59
Pd3 0.5000 0.0000 0.3609  5 As 2.48-2.59


[2]
DFT (PBE) results for an optimized crystal structure of Pr2BeAsPd6.

Unit cell a=5.9128 b=5.9618 c=7.0064 alpha=66.40 beta=65.70 gamma=60.72
Last column: nearest neighbours and their distance in Å.
Positions (direct):
Pr1 0.2311 0.2379 0.3127  8 Pd 3.05-3.41
Pr2 0.7689 0.7621 0.6873  8 Pd 3.05-3.41
Be1 0.0000 0.0000 0.0000  6 Pd 2.15-2.16
As1 0.5000 0.5000 0.5000  6 Pd 2.52-2.53
Pd1 0.2336 0.6948 0.8244  1 Be 2.16
Pd2 0.2394 0.2310 0.7965  1 Be 2.15
Pd3 0.2869 0.7731 0.1897  1 Be 2.16
Pd4 0.7131 0.2269 0.8103  1 Be 2.16
Pd5 0.7606 0.7690 0.2035  1 Be 2.15
Pd6 0.7664 0.3052 0.1756  1 Be 2.16


no.,final energy (eV/atom)
1,-5.49
2,-5.56